Ta2AlTl: relaxed, PBE.

Unit cell a=7.504 b=7.504 c=6.027 alpha=51.50 beta=51.50 gamma=90.00
Fractional coordinates of all 8 atoms:
Tl (0.000, 0.000, 0.000)
Tl (0.750, 0.250, 0.500)
Al (0.500, 0.500, 0.000)
Al (0.250, 0.750, 0.500)
Ta (0.611, 0.125, 0.250)
Ta (0.139, 0.625, 0.250)
Ta (0.375, 0.389, 0.750)
Ta (0.875, 0.861, 0.750)

Values from the calculation:
- Size of the total moment: 0.0 μB/f.u.
- SG: I-42d
- Crystal system: tetragonal
- N(E_F): 1.21 states/eV/cell
- E: -27.07 eV/f.u.

---

SiHgAsBr2: relaxed, PBE.

Unit cell a=5.401 b=5.401 c=5.372 alpha=90.00 beta=90.00 gamma=90.00
Site moments in Bohr magnetons follow the coordinates.
Fractional coordinates of all 5 atoms:
As (0.000, 0.000, 0.500)  0.25
Si (0.500, 0.500, 0.500)  -0.10
Hg (0.000, 0.000, 0.000)  0.00
Br (0.000, 0.500, 0.000)  0.01
Br (0.500, 0.000, 0.000)  0.01

Values from the calculation:
- Energy above the most stable polymorph in this dataset: 0.609 eV/atom
- Size of the total moment: 0.3 μB/f.u.
- SG: P4/mmm
- E_form (uncorrected): 4.08 eV per formula unit
- Crystal system: tetragonal
- N(E_F): 3.28 states/eV/cell
- E: -9.64 eV/f.u.

---

ZrCd2Au: relaxed, PBE.

Unit cell a=10.505 b=10.505 c=10.505 alpha=16.83 beta=16.83 gamma=16.83
Fractional coordinates of all 4 atoms:
Au (0.752, 0.752, 0.752)
Cd (0.005, 0.005, 0.005)
Cd (0.248, 0.248, 0.248)
Zr (0.495, 0.495, 0.495)

Values from the calculation:
- Size of the total moment: 0.0 μB/f.u.
- SG: R3m
- Crystal system: trigonal
- N(E_F): 1.92 states/eV/cell
- E: -14.09 eV/f.u.

---

BaAgPt2: relaxed, PBE.

Unit cell a=4.593 b=4.669 c=7.139 alpha=47.72 beta=90.00 gamma=90.00
Fractional coordinates of all 4 atoms:
Ag (0.000, 0.630, 0.503)
Ba (0.500, 0.844, 0.783)
Pt (0.000, 0.121, 0.000)
Pt (0.500, 0.905, 0.214)

Values from the calculation:
- Energy above the most stable polymorph in this dataset: 0.168 eV/atom
- Size of the total moment: 0.0 μB/f.u.
- SG: Pm
- Crystal system: monoclinic
- N(E_F): 2.06 states/eV/cell
- E: -17.93 eV/f.u.

---

PmNdYAg: relaxed, PBE.

Unit cell a=3.672 b=3.672 c=8.857 alpha=90.00 beta=90.00 gamma=90.00
Fractional coordinates of all 4 atoms:
Pm (0.500, 0.500, 0.783)
Nd (0.000, 0.000, 0.075)
Y (0.500, 0.500, 0.364)
Ag (0.000, 0.000, 0.562)

Values from the calculation:
- Energy above the most stable polymorph in this dataset: 0.000 eV/atom
- Size of the total moment: 0.0 μB/f.u.
- SG: P4mm
- Crystal system: tetragonal
- N(E_F): 5.91 states/eV/cell
- E: -19.33 eV/f.u.

---

Tm5Tl2Te2: relaxed, PBE.

Unit cell a=8.011 b=7.981 c=8.685 alpha=117.35 beta=90.00 gamma=90.00
Fractional coordinates of all 18 atoms:
Tm (0.000, 0.000, 0.000)
Tm (0.500, 0.500, 0.000)
Tm (0.835, 0.803, 0.273)
Tm (0.165, 0.470, 0.273)
Tm (0.335, 0.970, 0.273)
Tm (0.665, 0.303, 0.273)
Tm (0.165, 0.197, 0.727)
Tm (0.835, 0.530, 0.727)
Tm (0.665, 0.030, 0.727)
Tm (0.335, 0.697, 0.727)
Tl (0.634, 0.864, 0.000)
Tl (0.366, 0.136, 0.000)
Tl (0.134, 0.636, 0.000)
Tl (0.866, 0.364, 0.000)
Te (0.000, 0.203, 0.405)
Te (0.500, 0.703, 0.405)
Te (0.000, 0.797, 0.595)
Te (0.500, 0.297, 0.595)

Values from the calculation:
- Size of the total moment: 0.0 μB/f.u.
- SG: Cmce
- E_form (uncorrected): -6.25 eV per formula unit
- Crystal system: orthorhombic
- N(E_F): 20.76 states/eV/cell
- E: -39.62 eV/f.u.